No. 1
# TaRe2Se | the Alexandria database | PBE-GGA | relaxed
# * M_tot: 0.000 μB per cell
# * uncorrected energy: -38.5 eV per cell
# * space group: No. 35
data_TaRe2Se
_symmetry_space_group_name_H-M 'P 1'
_symmetry_Int_Tables_number 1
_cell_length_a 2.822
_cell_length_b 2.822
_cell_length_c 9.182
_cell_angle_alpha 90.00
_cell_angle_beta 90.00
_cell_angle_gamma 112.76
loop_
_symmetry_equiv_pos_as_xyz
'x,y,z'
loop_
_atom_site_label
_atom_site_type_symbol
_atom_site_fract_x
_atom_site_fract_y
_atom_site_fract_z
Re1 Re 0.500 0.500 0.227
Re2 Re 0.000 0.000 0.003
Ta1 Ta 0.500 0.500 0.754
Se1 Se 0.000 0.000 0.516

No. 2
# KDyTl2 | the Alexandria database | PBE-GGA | relaxed
# * E_form: -1.53 kcal/mol of atoms
# * M_tot: 0.000 μB per cell
# * excess energy over the best structure of this formula in the dataset: 134 meV per atom
# * uncorrected energy: -10.7 eV per cell
# * space group: No. 225
data_KDyTl2
_symmetry_space_group_name_H-M 'P 1'
_symmetry_Int_Tables_number 1
_cell_length_a 5.587
_cell_length_b 5.587
_cell_length_c 5.587
_cell_angle_alpha 60.00
_cell_angle_beta 60.00
_cell_angle_gamma 60.00
loop_
_symmetry_equiv_pos_as_xyz
'x,y,z'
loop_
_atom_site_label
_atom_site_type_symbol
_atom_site_fract_x
_atom_site_fract_y
_atom_site_fract_z
Dy1 Dy 0.000 0.000 0.000
Tl1 Tl 0.750 0.750 0.750
Tl2 Tl 0.250 0.250 0.250
K1 K 0.500 0.500 0.500

No. 3
# Sm8Co3CuCl4 | the Alexandria database | PBE-GGA | relaxed
# * M_tot: 0.000 μB per cell
# * uncorrected energy: -84.1 eV per cell
# * space group: No. 12
data_Sm8Co3CuCl4
_symmetry_space_group_name_H-M 'P 1'
_symmetry_Int_Tables_number 1
_cell_length_a 7.912
_cell_length_b 8.729
_cell_length_c 7.912
_cell_angle_alpha 116.96
_cell_angle_beta 120.00
_cell_angle_gamma 90.00
loop_
_symmetry_equiv_pos_as_xyz
'x,y,z'
loop_
_atom_site_label
_atom_site_type_symbol
_atom_site_fract_x
_atom_site_fract_y
_atom_site_fract_z
Cl1 Cl 0.000 0.000 0.000
Cl2 Cl 0.000 0.000 0.500
Cl3 Cl 0.500 0.000 0.500
Cl4 Cl 0.500 0.000 0.000
Sm1 Sm 0.276 0.297 0.036
Sm2 Sm 0.266 0.299 0.533
Sm3 Sm 0.734 0.701 0.467
Sm4 Sm 0.724 0.703 0.964
Sm5 Sm 0.759 0.297 0.036
Sm6 Sm 0.241 0.701 0.482
Sm7 Sm 0.759 0.299 0.518
Sm8 Sm 0.241 0.703 0.964
Co1 Co 0.500 0.500 0.500
Co2 Co 0.500 0.500 0.000
Co3 Co 0.000 0.500 0.500
Cu1 Cu 0.000 0.500 0.000

No. 4
# SrBeRe2 | the Alexandria database | PBE-GGA | relaxed
# * E_form: 16.14 kcal/mol of atoms
# * M_tot: 0.000 μB per cell
# * uncorrected energy: -27.5 eV per cell
# * space group: No. 71
data_SrBeRe2
_symmetry_space_group_name_H-M 'P 1'
_symmetry_Int_Tables_number 1
_cell_length_a 5.860
_cell_length_b 5.860
_cell_length_c 5.860
_cell_angle_alpha 153.91
_cell_angle_beta 130.68
_cell_angle_gamma 56.64
loop_
_symmetry_equiv_pos_as_xyz
'x,y,z'
loop_
_atom_site_label
_atom_site_type_symbol
_atom_site_fract_x
_atom_site_fract_y
_atom_site_fract_z
Re1 Re 0.954 0.954 0.000
Re2 Re 0.546 0.546 0.000
Sr1 Sr 0.250 0.750 0.500
Be1 Be 0.750 0.250 0.500

Looking at calculated density for the records above, in order, we have 15.58, 8.22, 6.53, 11.67 g cm⁻³.